[1]
## Ba2HgPt (meta-GGA SCAN)

Data for Ba2HgPt at its PBEsol-relaxed geometry.

Unit cell a=3.8938 b=3.8938 c=8.0116 alpha=90.00 beta=90.00 gamma=90.00
Positions (direct):
Ba  0.0000  0.0000  0.2246
Ba  0.0000  0.0000  0.7754
Hg  0.5000  0.5000  0.5000
Pt  0.5000  0.5000  0.0000

Calculated values
- Final energy: -55.09 eV per atom
- Volume: 121 Å³ per cell
- Energy of formation: -724 meV per atom
- D(E_F): 1.895 states/eV/f.u.

---

[2]
## Ba2HgPt (meta-GGA SCAN)

Data for Ba2HgPt at its PBEsol-relaxed geometry.

Unit cell a=4.4970 b=4.4970 c=24.5577 alpha=90.00 beta=90.00 gamma=120.00
Positions (direct):
Ba  0.0000  0.0000  0.2361
Ba  0.0000  0.0000  0.7639
Ba  0.3333  0.6667  0.4306
Ba  0.3333  0.6667  0.9028
Ba  0.6667  0.3333  0.0972
Ba  0.6667  0.3333  0.5694
Hg  0.0000  0.0000  0.0000
Hg  0.3333  0.6667  0.6667
Hg  0.6667  0.3333  0.3333
Pt  0.0000  0.0000  0.5000
Pt  0.3333  0.6667  0.1667
Pt  0.6667  0.3333  0.8333

Calculated values
- Final energy: -55.08 eV per atom
- Volume: 430 Å³ per cell
- Energy of formation: -715 meV per atom
- D(E_F): 2.112 states/eV/f.u.

---

[3]
## BaHg2Pt2 (meta-GGA SCAN)

Data for BaHg2Pt2 at its PBEsol-relaxed geometry.

Unit cell a=4.4900 b=4.4900 c=11.7515 alpha=90.00 beta=90.00 gamma=90.00
Positions (direct):
Ba  0.0000  0.0000  0.0000
Ba  0.5000  0.5000  0.5000
Hg  0.0000  0.5000  0.2500
Hg  0.0000  0.5000  0.7500
Hg  0.5000  0.0000  0.2500
Hg  0.5000  0.0000  0.7500
Pt  0.0000  0.0000  0.3918
Pt  0.0000  0.0000  0.6082
Pt  0.5000  0.5000  0.1082
Pt  0.5000  0.5000  0.8918

Calculated values
- Final energy: -63.77 eV per atom
- Volume: 237 Å³ per cell
- Energy of formation: -513 meV per atom
- D(E_F): 1.774 states/eV/f.u.

---

[4]
## Ba2HgPt (meta-GGA SCAN)

Data for Ba2HgPt at its PBEsol-relaxed geometry.

Unit cell a=4.7485 b=4.5773 c=11.9364 alpha=90.00 beta=90.00 gamma=90.00
Positions (direct):
Ba  0.0000  0.0000  0.0000
Ba  0.0000  0.5000  0.5000
Ba  0.5000  0.0000  0.2804
Ba  0.5000  0.5000  0.7804
Hg  0.0000  0.0000  0.7059
Hg  0.0000  0.5000  0.2059
Pt  0.5000  0.0000  0.5690
Pt  0.5000  0.5000  0.0690

Calculated values
- Final energy: -55.08 eV per atom
- Volume: 259 Å³ per cell
- Energy of formation: -716 meV per atom
- D(E_F): 2.904 states/eV/f.u.

---

[5]
## BaHgPt2 (meta-GGA SCAN)

Data for BaHgPt2 at its PBEsol-relaxed geometry.

Unit cell a=4.4447 b=4.4447 c=17.7211 alpha=90.00 beta=90.00 gamma=120.00
Positions (direct):
Ba  0.0000  0.0000  0.0000
Ba  0.3333  0.6667  0.6667
Ba  0.6667  0.3333  0.3333
Hg  0.0000  0.0000  0.7948
Hg  0.3333  0.6667  0.4614
Hg  0.6667  0.3333  0.1281
Pt  0.0000  0.0000  0.2091
Pt  0.0000  0.0000  0.5410
Pt  0.3333  0.6667  0.2076
Pt  0.3333  0.6667  0.8757
Pt  0.6667  0.3333  0.5424
Pt  0.6667  0.3333  0.8743

Calculated values
- Final energy: -62.62 eV per atom
- Volume: 303 Å³ per cell
- Energy of formation: -598 meV per atom
- D(E_F): 0.450 states/eV/f.u.

---

[6]
## Rb2BaHg2 (meta-GGA SCAN)

Data for Rb2BaHg2 at its PBEsol-relaxed geometry.

Unit cell a=8.7032 b=8.7032 c=5.7274 alpha=90.00 beta=90.00 gamma=90.00
Positions (direct):
Rb  0.1676  0.3324  0.0000
Rb  0.3324  0.8324  0.0000
Rb  0.6676  0.1676  0.0000
Rb  0.8324  0.6676  0.0000
Ba  0.0000  0.0000  0.5000
Ba  0.5000  0.5000  0.5000
Hg  0.1195  0.6195  0.5000
Hg  0.3805  0.1195  0.5000
Hg  0.6195  0.8805  0.5000
Hg  0.8805  0.3805  0.5000

Calculated values
- Final energy: -43.76 eV per atom
- Volume: 434 Å³ per cell
- Energy of formation: -290 meV per atom
- D(E_F): 2.232 states/eV/f.u.

---

- Which formula does entry 4 have?
  Ba2HgPt